[1]
Below is FePt2Br after structural relaxation, with properties calculated at the PBE level.

Cell lengths 5.7435, 5.7435, 5.7435 Å; angles 150.52, 132.08, 57.27 degrees
Atoms (fractional coordinates):
Fe: 0.0000 0.0000 0.0000
Pt: 0.2034 0.7034 0.5000
Pt: 0.4609 0.4609 0.0000
Br: 0.7929 0.2929 0.5000

## Properties
- ΔE to the lowest computed polymorph (kcal/mol of atoms) = 7.13
- formation energy without anion corrections (eV/atom) = 0.48
- total DFT energy (no corrections) (Ry per atom) = -0.3727
- total magnetic moment (μB/f.u.) = 3.69

[2]
Below is MgNiSb after structural relaxation, with properties calculated at the PBE level.

Cell lengths 3.3071, 3.3071, 6.2124 Å; angles 90.00, 90.00, 120.00 degrees
Atoms (fractional coordinates):
Mg: 0.0000 0.0000 0.0000
Ni: 0.6667 0.3333 0.3054
Sb: 0.3333 0.6667 0.5795

## Properties
- formation energy without anion corrections (eV/atom) = -0.03
- total DFT energy (no corrections) (Ry per atom) = -0.2837
- total magnetic moment (μB/f.u.) = 0.00